# Be3Sb

An optimized crystal structure of Be3Sb (GGA-PBE, Alexandria via LeMat-Bulk).

E_form (uncorrected): 0.43 eV/atom
total DFT energy (no corrections): -13.60 eV/cell
energy above the lowest structure with this stoichiometry: 36 meV/atom

CIF file:
```
data_Be3Sb
_space_group_name_H-M_alt 'P m m m'
_space_group_IT_number 47
_cell_length_a 3.553
_cell_length_b 3.728
_cell_length_c 4.201
_cell_angle_alpha 90.00
_cell_angle_beta 90.00
_cell_angle_gamma 90.00
loop_
_space_group_symop_operation_xyz
'x,y,z'
'-x,-y,-z'
'-x,-y,z'
'x,y,-z'
'x,-y,-z'
'-x,y,z'
'-x,y,-z'
'x,-y,z'
loop_
_atom_site_label
_atom_site_fract_x
_atom_site_fract_y
_atom_site_fract_z
Be1 0.000 0.000 0.000
Be2 0.000 0.500 0.247
Sb1 0.500 0.000 0.500
```